--- i ---
VASP calculation (PBE) on La6NdHg after structural relaxation.

Structure (CIF):
```
data_La6NdHg
_chemical_formula_sum 'La6 Nd1 Hg1'
_cell_length_a 6.773
_cell_length_b 6.781
_cell_length_c 8.913
_cell_angle_alpha 112.11
_cell_angle_beta 90.12
_cell_angle_gamma 119.89
_symmetry_space_group_name_H-M 'P -1'
_symmetry_Int_Tables_number 2
_symmetry_space_group_name_Hall '-P 1'
loop_
_atom_site_label
_atom_site_fract_x
_atom_site_fract_y
_atom_site_fract_z
La1 0.042 0.332 0.274
La2 0.213 0.271 0.728
La3 0.437 0.983 0.273
Nd1 0.500 0.500 0.500
Hg1 0.000 0.500 0.000
```



--- ii ---
VASP calculation (PBE) on La6NdHg after structural relaxation.

Structure (CIF):
```
data_La6NdHg
_chemical_formula_sum 'La6 Nd1 Hg1'
_cell_length_a 5.116
_cell_length_b 5.116
_cell_length_c 10.372
_cell_angle_alpha 90.00
_cell_angle_beta 90.00
_cell_angle_gamma 90.00
_symmetry_space_group_name_H-M 'P 4/m m m'
_symmetry_Int_Tables_number 123
_symmetry_space_group_name_Hall '-P 4 2'
loop_
_atom_site_label
_atom_site_fract_x
_atom_site_fract_y
_atom_site_fract_z
La1 0.000 0.000 0.000
La2 0.000 0.000 0.500
La3 0.000 0.500 0.244
Nd1 0.500 0.500 0.500
Hg1 0.500 0.500 0.000
```



Energies relative to the most stable structure are i 34.3; ii 0.0, reported in kJ/mol of atoms.



--- i ---
VASP calculation (PBE) on La4NdHg after structural relaxation.

Structure (CIF):
```
data_La4NdHg
_chemical_formula_sum 'La4 Nd1 Hg1'
_cell_length_a 3.789
_cell_length_b 3.789
_cell_length_c 14.231
_cell_angle_alpha 90.00
_cell_angle_beta 90.00
_cell_angle_gamma 90.00
_symmetry_space_group_name_H-M 'P 4/m m m'
_symmetry_Int_Tables_number 123
_symmetry_space_group_name_Hall '-P 4 2'
loop_
_atom_site_label
_atom_site_fract_x
_atom_site_fract_y
_atom_site_fract_z
La1 0.000 0.000 0.144
La2 0.500 0.500 0.321
Nd1 0.000 0.000 0.500
Hg1 0.500 0.500 0.000
```



--- ii ---
VASP calculation (PBE) on La4NdHg after structural relaxation.

Structure (CIF):
```
data_La4NdHg
_chemical_formula_sum 'La4 Nd1 Hg1'
_cell_length_a 5.447
_cell_length_b 5.447
_cell_length_c 7.799
_cell_angle_alpha 90.00
_cell_angle_beta 90.00
_cell_angle_gamma 90.00
_symmetry_space_group_name_H-M 'P 4/m m m'
_symmetry_Int_Tables_number 123
_symmetry_space_group_name_Hall '-P 4 2'
loop_
_atom_site_label
_atom_site_fract_x
_atom_site_fract_y
_atom_site_fract_z
La1 0.000 0.500 0.239
Nd1 0.000 0.000 0.500
Hg1 0.500 0.500 0.000
```



Energies relative to the most stable structure are i 0.0; ii 36.4, reported in kJ/mol of atoms.



--- i ---
VASP calculation (PBE) on LaNd2Hg after structural relaxation.

Structure (CIF):
```
data_LaNd2Hg
_chemical_formula_sum 'La3 Nd6 Hg3'
_cell_length_a 3.7555
_cell_length_b 3.7555
_cell_length_c 33.0303
_cell_angle_alpha 90.00
_cell_angle_beta 90.00
_cell_angle_gamma 120.00
_symmetry_space_group_name_H-M 'R 3 m'
_symmetry_Int_Tables_number 160
_symmetry_space_group_name_Hall 'R 3 -2"'
loop_
_atom_site_label
_atom_site_fract_x
_atom_site_fract_y
_atom_site_fract_z
La1 0.0000 0.0000 0.0000
Nd1 0.0000 0.0000 0.5743
Nd2 0.0000 0.0000 0.7596
Hg1 0.0000 0.0000 0.1668
```



--- ii ---
VASP calculation (PBE) on LaNd2Hg after structural relaxation.

Structure (CIF):
```
data_LaNd2Hg
_chemical_formula_sum 'La4 Nd8 Hg4'
_cell_length_a 7.830
_cell_length_b 7.830
_cell_length_c 7.830
_cell_angle_alpha 90.00
_cell_angle_beta 90.00
_cell_angle_gamma 90.00
_symmetry_space_group_name_H-M 'F m -3 m'
_symmetry_Int_Tables_number 225
_symmetry_space_group_name_Hall '-F 4 2 3'
loop_
_atom_site_label
_atom_site_fract_x
_atom_site_fract_y
_atom_site_fract_z
La1 0.000 0.000 0.000
Nd1 0.250 0.250 0.250
Hg1 0.000 0.000 0.500
```



Energies relative to the most stable structure are i 0.0; ii 6.7, reported in kJ/mol of atoms.



--- i ---
VASP calculation (PBE) on LaNd2Hg after structural relaxation.

Structure (CIF):
```
data_LaNd2Hg
_chemical_formula_sum 'La1 Nd2 Hg1'
_cell_length_a 4.975
_cell_length_b 4.975
_cell_length_c 4.991
_cell_angle_alpha 90.00
_cell_angle_beta 90.00
_cell_angle_gamma 90.00
_symmetry_space_group_name_H-M 'P 4/m m m'
_symmetry_Int_Tables_number 123
_symmetry_space_group_name_Hall '-P 4 2'
loop_
_atom_site_label
_atom_site_fract_x
_atom_site_fract_y
_atom_site_fract_z
La1 0.000 0.000 0.000
Nd1 0.000 0.500 0.500
Hg1 0.500 0.500 0.000
```



--- ii ---
VASP calculation (PBE) on LaNd2Hg after structural relaxation.

Structure (CIF):
```
data_LaNd2Hg
_chemical_formula_sum 'La1 Nd2 Hg1'
_cell_length_a 3.799
_cell_length_b 3.799
_cell_length_c 8.836
_cell_angle_alpha 90.00
_cell_angle_beta 90.00
_cell_angle_gamma 90.00
_symmetry_space_group_name_H-M 'P 4/m m m'
_symmetry_Int_Tables_number 123
_symmetry_space_group_name_Hall '-P 4 2'
loop_
_atom_site_label
_atom_site_fract_x
_atom_site_fract_y
_atom_site_fract_z
La1 0.000 0.000 0.000
Nd1 0.500 0.500 0.281
Hg1 0.000 0.000 0.500
```



Energies relative to the most stable structure are i 5.5; ii 0.0, reported in kJ/mol of atoms.



--- i ---
VASP calculation (PBE) on La8NdHg2 after structural relaxation.

Structure (CIF):
```
data_La8NdHg2
_chemical_formula_sum 'La16 Nd2 Hg4'
_cell_length_a 9.064
_cell_length_b 15.223
_cell_length_c 5.950
_cell_angle_alpha 90.00
_cell_angle_beta 110.56
_cell_angle_gamma 90.00
_symmetry_space_group_name_H-M 'C 1 2/m 1'
_symmetry_Int_Tables_number 12
_symmetry_space_group_name_Hall '-C 2y'
loop_
_atom_site_label
_atom_site_fract_x
_atom_site_fract_y
_atom_site_fract_z
La1 0.000 0.228 0.000
La2 0.102 0.500 0.806
La3 0.196 0.110 0.596
Nd1 0.000 0.000 0.000
Hg1 0.000 0.307 0.500
```



--- ii ---
VASP calculation (PBE) on La8NdHg2 after structural relaxation.

Structure (CIF):
```
data_La8NdHg2
_chemical_formula_sum 'La16 Nd2 Hg4'
_cell_length_a 17.305
_cell_length_b 5.520
_cell_length_c 8.623
_cell_angle_alpha 90.00
_cell_angle_beta 114.46
_cell_angle_gamma 90.00
_symmetry_space_group_name_H-M 'C 1 2/m 1'
_symmetry_Int_Tables_number 12
_symmetry_space_group_name_Hall '-C 2y'
loop_
_atom_site_label
_atom_site_fract_x
_atom_site_fract_y
_atom_site_fract_z
La1 0.049 0.000 0.242
La2 0.105 0.500 0.968
La3 0.151 0.000 0.708
La4 0.190 0.500 0.460
Nd1 0.000 0.500 0.500
Hg1 0.215 0.000 0.132
```



Energies relative to the most stable structure are i 5.0; ii 0.0, reported in kJ/mol of atoms.



--- i ---
VASP calculation (PBE) on La2Nd6Hg after structural relaxation.

Structure (CIF):
```
data_La2Nd6Hg
_chemical_formula_sum 'La4 Nd12 Hg2'
_cell_length_a 9.819
_cell_length_b 17.812
_cell_length_c 3.608
_cell_angle_alpha 90.00
_cell_angle_beta 90.00
_cell_angle_gamma 90.00
_symmetry_space_group_name_H-M 'C m m m'
_symmetry_Int_Tables_number 65
_symmetry_space_group_name_Hall '-C 2 2'
loop_
_atom_site_label
_atom_site_fract_x
_atom_site_fract_y
_atom_site_fract_z
La1 0.000 0.171 0.000
Nd1 0.172 0.336 0.500
Nd2 0.215 0.000 0.000
Hg1 0.000 0.500 0.500
```



--- ii ---
VASP calculation (PBE) on La2Nd6Hg after structural relaxation.

Structure (CIF):
```
data_La2Nd6Hg
_chemical_formula_sum 'La2 Nd6 Hg1'
_cell_length_a 9.7111
_cell_length_b 9.7111
_cell_length_c 3.8088
_cell_angle_alpha 90.00
_cell_angle_beta 90.00
_cell_angle_gamma 120.00
_symmetry_space_group_name_H-M 'P -6 2 m'
_symmetry_Int_Tables_number 189
_symmetry_space_group_name_Hall 'P -6 -2'
loop_
_atom_site_label
_atom_site_fract_x
_atom_site_fract_y
_atom_site_fract_z
La1 0.3333 0.6667 0.0000
Nd1 0.0000 0.3789 0.5000
Nd2 0.0000 0.7345 0.0000
Hg1 0.0000 0.0000 0.5000
```



Energies relative to the most stable structure are i 11.5; ii 0.0, reported in kJ/mol of atoms.



--- i ---
VASP calculation (PBE) on La2Nd3Hg4 after structural relaxation.

Structure (CIF):
```
data_La2Nd3Hg4
_chemical_formula_sum 'La2 Nd3 Hg4'
_cell_length_a 5.4142
_cell_length_b 5.4142
_cell_length_c 10.5970
_cell_angle_alpha 90.00
_cell_angle_beta 90.00
_cell_angle_gamma 120.00
_symmetry_space_group_name_H-M 'P -3 m 1'
_symmetry_Int_Tables_number 164
_symmetry_space_group_name_Hall '-P 3 2"'
loop_
_atom_site_label
_atom_site_fract_x
_atom_site_fract_y
_atom_site_fract_z
La1 0.3333 0.6667 0.2886
Nd1 0.0000 0.0000 0.5000
Nd2 0.3333 0.6667 0.9154
Hg1 0.0000 0.0000 0.1494
Hg2 0.3333 0.6667 0.6028
```



--- ii ---
VASP calculation (PBE) on La2Nd3Hg4 after structural relaxation.

Structure (CIF):
```
data_La2Nd3Hg4
_chemical_formula_sum 'La8 Nd12 Hg16'
_cell_length_a 7.209
_cell_length_b 18.198
_cell_length_c 8.562
_cell_angle_alpha 90.00
_cell_angle_beta 90.00
_cell_angle_gamma 90.00
_symmetry_space_group_name_H-M 'C m c e'
_symmetry_Int_Tables_number 64
_symmetry_space_group_name_Hall '-C 2ac 2'
loop_
_atom_site_label
_atom_site_fract_x
_atom_site_fract_y
_atom_site_fract_z
La1 0.000 0.095 0.083
Nd1 0.000 0.000 0.500
Nd2 0.250 0.239 0.750
Hg1 0.000 0.169 0.473
Hg2 0.250 0.064 0.750
```



Energies relative to the most stable structure are i 0.0; ii 5.1, reported in kJ/mol of atoms.



--- i ---
VASP calculation (PBE) on LaPmNdHg after structural relaxation.

Structure (CIF):
```
data_LaPmNdHg
_chemical_formula_sum 'La4 Pm4 Nd4 Hg4'
_cell_length_a 7.918
_cell_length_b 7.918
_cell_length_c 7.918
_cell_angle_alpha 90.00
_cell_angle_beta 90.00
_cell_angle_gamma 90.00
_symmetry_space_group_name_H-M 'F -4 3 m'
_symmetry_Int_Tables_number 216
_symmetry_space_group_name_Hall 'F -4 2 3'
loop_
_atom_site_label
_atom_site_fract_x
_atom_site_fract_y
_atom_site_fract_z
La1 0.000 0.000 0.000
Pm1 0.250 0.250 0.750
Nd1 0.000 0.000 0.500
Hg1 0.250 0.250 0.250
```



--- ii ---
VASP calculation (PBE) on LaPmNdHg after structural relaxation.

Structure (CIF):
```
data_LaPmNdHg
_chemical_formula_sum 'La1 Pm1 Nd1 Hg1'
_cell_length_a 3.787
_cell_length_b 3.787
_cell_length_c 8.823
_cell_angle_alpha 90.00
_cell_angle_beta 90.00
_cell_angle_gamma 90.00
_symmetry_space_group_name_H-M 'P 4 m m'
_symmetry_Int_Tables_number 99
_symmetry_space_group_name_Hall 'P 4 -2'
loop_
_atom_site_label
_atom_site_fract_x
_atom_site_fract_y
_atom_site_fract_z
La1 0.000 0.000 0.000
Pm1 0.500 0.500 0.281
Nd1 0.500 0.500 0.717
Hg1 0.000 0.000 0.495
```



Energies relative to the most stable structure are i 15.2; ii 0.0, reported in kJ/mol of atoms.